# Co3PdPt (PBE, relaxed)
data_Co3PdPt
_chemical_formula_sum 'Co18 Pd6 Pt6'
_cell_length_a 4.8984
_cell_length_b 4.8984
_cell_length_c 19.0172
_cell_angle_alpha 90.00
_cell_angle_beta 90.00
_cell_angle_gamma 120.00
_space_group_name_H-M_alt 'R -3 m'
_space_group_IT_number 166
_space_group_name_Hall '-R 3 2"'
loop_
_atom_site_label
_atom_site_fract_x
_atom_site_fract_y
_atom_site_fract_z
_atom_site_occupancy
Co1 0.0082 0.5041 0.3826 1
Pd1 0.0000 0.0000 0.1640 1
Pt1 0.0000 0.0000 0.4295 1
# - Calculated formation energy: 29 kJ/mol of formula units

***

# Co3Pd2Pt2 (PBE, relaxed)
data_Co3Pd2Pt2
_chemical_formula_sum 'Co6 Pd4 Pt4'
_cell_length_a 7.3743
_cell_length_b 4.2447
_cell_length_c 6.8724
_cell_angle_alpha 90.00
_cell_angle_beta 111.14
_cell_angle_gamma 90.00
_space_group_name_H-M_alt 'C 1 2/m 1'
_space_group_IT_number 12
_space_group_name_Hall '-C 2y'
loop_
_atom_site_label
_atom_site_fract_x
_atom_site_fract_y
_atom_site_fract_z
_atom_site_occupancy
Co1 0.0000 0.0000 0.0000 1
Co2 0.2296 0.5000 0.1911 1
Pd1 0.1338 0.0000 0.4021 1
Pt1 0.0985 0.5000 0.7945 1
# - Calculated formation energy: 56 kJ/mol of formula units

***

# CoPd5Pt4 (PBE, relaxed)
data_CoPd5Pt4
_chemical_formula_sum 'Co1 Pd5 Pt4'
_cell_length_a 3.2808
_cell_length_b 3.2808
_cell_length_c 14.2397
_cell_angle_alpha 90.00
_cell_angle_beta 90.00
_cell_angle_gamma 90.00
_space_group_name_H-M_alt 'P 4/m m m'
_space_group_IT_number 123
_space_group_name_Hall '-P 4 2'
loop_
_atom_site_label
_atom_site_fract_x
_atom_site_fract_y
_atom_site_fract_z
_atom_site_occupancy
Co1 0.0000 0.0000 0.0000 1
Pd1 0.5000 0.5000 0.0931 1
Pd2 0.5000 0.5000 0.2962 1
Pd3 0.5000 0.5000 0.5000 1
Pt1 0.0000 0.0000 0.1940 1
Pt2 0.0000 0.0000 0.3979 1
# - Calculated formation energy: 68 kJ/mol of formula units

***

# Co2Pd8Pt (PBE, relaxed)
data_Co2Pd8Pt
_chemical_formula_sum 'Co4 Pd16 Pt2'
_cell_length_a 14.0189
_cell_length_b 3.8866
_cell_length_c 6.1601
_cell_angle_alpha 90.00
_cell_angle_beta 105.33
_cell_angle_gamma 90.00
_space_group_name_H-M_alt 'C 1 2/m 1'
_space_group_IT_number 12
_space_group_name_Hall '-C 2y'
loop_
_atom_site_label
_atom_site_fract_x
_atom_site_fract_y
_atom_site_fract_z
_atom_site_occupancy
Co1 0.2290 0.0000 0.1264 1
Pd1 0.0486 0.0000 0.2293 1
Pd2 0.0976 0.5000 0.9614 1
Pd3 0.1424 0.0000 0.6981 1
Pd4 0.1838 0.5000 0.4139 1
Pt1 0.0000 0.5000 0.5000 1
# - Calculated formation energy: 2 kJ/mol of formula units

***

# Co4PdPt5 (PBE, relaxed)
data_Co4PdPt5
_chemical_formula_sum 'Co4 Pd1 Pt5'
_cell_length_a 2.7215
_cell_length_b 2.7215
_cell_length_c 18.7741
_cell_angle_alpha 90.00
_cell_angle_beta 90.00
_cell_angle_gamma 90.00
_space_group_name_H-M_alt 'P 4/m m m'
_space_group_IT_number 123
_space_group_name_Hall '-P 4 2'
loop_
_atom_site_label
_atom_site_fract_x
_atom_site_fract_y
_atom_site_fract_z
_atom_site_occupancy
Co1 0.0000 0.0000 0.0983 1
Co2 0.0000 0.0000 0.2933 1
Pd1 0.0000 0.0000 0.5000 1
Pt1 0.5000 0.5000 0.0000 1
Pt2 0.5000 0.5000 0.1951 1
Pt3 0.5000 0.5000 0.3881 1
# - Calculated formation energy: -90 kJ/mol of formula units

***

# CoPd2Pt2 (PBE, relaxed)
data_CoPd2Pt2
_chemical_formula_sum 'Co2 Pd4 Pt4'
_cell_length_a 2.7400
_cell_length_b 2.7400
_cell_length_c 19.5466
_cell_angle_alpha 90.00
_cell_angle_beta 90.00
_cell_angle_gamma 90.00
_space_group_name_H-M_alt 'I 4/m m m'
_space_group_IT_number 139
_space_group_name_Hall '-I 4 2'
loop_
_atom_site_label
_atom_site_fract_x
_atom_site_fract_y
_atom_site_fract_z
_atom_site_occupancy
Co1 0.0000 0.0000 0.0000 1
Pd1 0.0000 0.0000 0.1973 1
Pt1 0.0000 0.0000 0.4086 1
# - Calculated formation energy: -45 kJ/mol of formula units

***

# Co5PdPt4 (PBE, relaxed)
data_Co5PdPt4
_chemical_formula_sum 'Co5 Pd1 Pt4'
_cell_length_a 3.1697
_cell_length_b 3.1697
_cell_length_c 13.6295
_cell_angle_alpha 90.00
_cell_angle_beta 90.00
_cell_angle_gamma 90.00
_space_group_name_H-M_alt 'P 4/m m m'
_space_group_IT_number 123
_space_group_name_Hall '-P 4 2'
loop_
_atom_site_label
_atom_site_fract_x
_atom_site_fract_y
_atom_site_fract_z
_atom_site_occupancy
Co1 0.0000 0.0000 0.0000 1
Co2 0.0000 0.0000 0.2039 1
Co3 0.0000 0.0000 0.3954 1
Pd1 0.5000 0.5000 0.5000 1
Pt1 0.5000 0.5000 0.1000 1
Pt2 0.5000 0.5000 0.3009 1
# - Calculated formation energy: 76 kJ/mol of formula units

***

# Co3PdPt (PBE, relaxed)
data_Co3PdPt
_chemical_formula_sum 'Co3 Pd1 Pt1'
_cell_length_a 4.5680
_cell_length_b 4.5680
_cell_length_c 4.5680
_cell_angle_alpha 90.00
_cell_angle_beta 90.00
_cell_angle_gamma 90.00
_space_group_name_H-M_alt 'P m -3 m'
_space_group_IT_number 221
_space_group_name_Hall '-P 4 2 3'
loop_
_atom_site_label
_atom_site_fract_x
_atom_site_fract_y
_atom_site_fract_z
_atom_site_occupancy
Co1 0.0000 0.0000 0.5000 1
Pd1 0.5000 0.5000 0.5000 1
Pt1 0.0000 0.0000 0.0000 1
# - Calculated formation energy: 625 kJ/mol of formula units

***

# Co3PdPt2 (PBE, relaxed)
data_Co3PdPt2
_chemical_formula_sum 'Co12 Pd4 Pt8'
_cell_length_a 6.8820
_cell_length_b 7.3153
_cell_length_c 6.6650
_cell_angle_alpha 90.00
_cell_angle_beta 102.99
_cell_angle_gamma 90.00
_space_group_name_H-M_alt 'C 1 2/c 1'
_space_group_IT_number 15
_space_group_name_Hall '-C 2yc'
loop_
_atom_site_label
_atom_site_fract_x
_atom_site_fract_y
_atom_site_fract_z
_atom_site_occupancy
Co1 0.0000 0.0762 0.2500 1
Co2 0.2363 0.0900 0.9972 1
Pd1 0.0000 0.4219 0.2500 1
Pt1 0.1249 0.2391 0.6258 1
# - Calculated formation energy: 7 kJ/mol of formula units

***

# CoPd4Pt5 (PBE, relaxed)
data_CoPd4Pt5
_chemical_formula_sum 'Co1 Pd4 Pt5'
_cell_length_a 2.7619
_cell_length_b 2.7619
_cell_length_c 19.7472
_cell_angle_alpha 90.00
_cell_angle_beta 90.00
_cell_angle_gamma 90.00
_space_group_name_H-M_alt 'P 4/m m m'
_space_group_IT_number 123
_space_group_name_Hall '-P 4 2'
loop_
_atom_site_label
_atom_site_fract_x
_atom_site_fract_y
_atom_site_fract_z
_atom_site_occupancy
Co1 0.0000 0.0000 0.0000 1
Pd1 0.0000 0.0000 0.1937 1
Pd2 0.0000 0.0000 0.3983 1
Pt1 0.5000 0.5000 0.0897 1
Pt2 0.5000 0.5000 0.2967 1
Pt3 0.5000 0.5000 0.5000 1
# - Calculated formation energy: -65 kJ/mol of formula units

***

# Co2PdPt2 (PBE, relaxed)
data_Co2PdPt2
_chemical_formula_sum 'Co4 Pd2 Pt4'
_cell_length_a 8.5084
_cell_length_b 3.8368
_cell_length_c 5.9762
_cell_angle_alpha 90.00
_cell_angle_beta 134.38
_cell_angle_gamma 90.00
_space_group_name_H-M_alt 'C 1 2/m 1'
_space_group_IT_number 12
_space_group_name_Hall '-C 2y'
loop_
_atom_site_label
_atom_site_fract_x
_atom_site_fract_y
_atom_site_fract_z
_atom_site_occupancy
Co1 0.0972 0.0000 0.2931 1
Pd1 0.0000 0.5000 0.5000 1
Pt1 0.2009 0.5000 0.1140 1
# - Calculated formation energy: -21 kJ/mol of formula units

***

# Co2PdPt8 (PBE, relaxed)
data_Co2PdPt8
_chemical_formula_sum 'Co4 Pd2 Pt16'
_cell_length_a 14.1168
_cell_length_b 3.8828
_cell_length_c 6.2040
_cell_angle_alpha 90.00
_cell_angle_beta 105.32
_cell_angle_gamma 90.00
_space_group_name_H-M_alt 'C 1 2/m 1'
_space_group_IT_number 12
_space_group_name_Hall '-C 2y'
loop_
_atom_site_label
_atom_site_fract_x
_atom_site_fract_y
_atom_site_fract_z
_atom_site_occupancy
Co1 0.2293 0.0000 0.1300 1
Pd1 0.0000 0.5000 0.5000 1
Pt1 0.0492 0.0000 0.2266 1
Pt2 0.0982 0.5000 0.9609 1
Pt3 0.1425 0.0000 0.6989 1
Pt4 0.1838 0.5000 0.4137 1
# - Calculated formation energy: -77 kJ/mol of formula units

***

The evaluated DOS at the Fermi energy for the records listed, in turn: 1.075 1.053 1.473 1.123 1.151 1.075 1.956 2.355 0.912 1.636 1.045 1.154 states/eV per atom.
The evaluated E for the records listed, in turn: -6.45 -6.17 -5.65 -5.62 -6.48 -6.01 -6.41 -5.22 -6.42 -5.88 -6.34 -6.23 eV per atom.
The evaluated magnetic moment for the records listed, in turn: 1.244 1.076 0.283 0.638 0.062 0.664 0.715 1.383 1.145 0.387 0.974 0.612 μB/atom.